Material: YCo2Mo
Method: DFT, PBE-GGA
State: optimized geometry

Unit cell a=6.246 b=6.246 c=6.246 alpha=90.00 beta=90.00 gamma=90.00
Space group F-43m (No. 216)
Inequivalent atoms, fractional coordinates:
Y (0.000, 0.000, 0.000) [4 per cell]
Co (0.000, 0.000, 0.500) [4 per cell]
Co (0.250, 0.250, 0.250) [4 per cell]
Mo (0.250, 0.250, 0.750) [4 per cell]

Results
excess energy over the best structure of this formula in the dataset	454	meV/atom
energy of formation from the pure elements	0.467	eV per atom
uncorrected energy	-7.41	eV per atom